1.
The following is a GGA-PBE calculation of a relaxed Na4TiSe4 crystal, from Alexandria.

For the total DFT energy (no corrections), the calculation gives -37.4 eV/f.u. For the raw formation energy, the calculation gives -1.14 eV per atom.

Unit cell a=14.585 b=14.585 c=21.761 alpha=57.63 beta=57.63 gamma=29.63
Fractional coordinates of all 72 atoms:
Na  0.660  0.665  0.818
Na  0.335  0.340  0.682
Na  0.340  0.335  0.182
Na  0.665  0.660  0.318
Na  0.828  0.856  0.676
Na  0.144  0.172  0.824
Na  0.172  0.144  0.324
Na  0.856  0.828  0.176
Na  0.577  0.123  0.937
Na  0.877  0.423  0.563
Na  0.423  0.877  0.063
Na  0.123  0.577  0.437
Na  0.573  0.798  0.635
Na  0.202  0.427  0.865
Na  0.427  0.202  0.365
Na  0.798  0.573  0.135
Na  0.065  0.593  0.020
Na  0.407  0.935  0.480
Na  0.935  0.407  0.980
Na  0.593  0.065  0.520
Na  0.032  0.117  0.223
Na  0.883  0.968  0.277
Na  0.968  0.883  0.777
Na  0.117  0.032  0.723
Na  0.612  0.465  0.789
Na  0.535  0.388  0.711
Na  0.388  0.535  0.211
Na  0.465  0.612  0.289
Na  0.743  0.160  0.008
Na  0.840  0.257  0.492
Na  0.257  0.840  0.992
Na  0.160  0.743  0.508
Ti  0.160  0.781  0.902
Ti  0.219  0.840  0.598
Ti  0.840  0.219  0.098
Ti  0.781  0.160  0.402
Ti  0.321  0.158  0.129
Ti  0.842  0.679  0.371
Ti  0.679  0.842  0.871
Ti  0.158  0.321  0.629
Se  0.803  0.337  0.339
Se  0.663  0.197  0.161
Se  0.197  0.663  0.661
Se  0.337  0.803  0.839
Se  0.078  0.854  0.365
Se  0.146  0.922  0.135
Se  0.922  0.146  0.635
Se  0.854  0.078  0.865
Se  0.136  0.719  0.032
Se  0.281  0.864  0.468
Se  0.864  0.281  0.968
Se  0.719  0.136  0.532
Se  0.300  0.543  0.864
Se  0.457  0.700  0.636
Se  0.700  0.457  0.136
Se  0.543  0.300  0.364
Se  0.224  0.252  0.025
Se  0.748  0.776  0.475
Se  0.776  0.748  0.975
Se  0.252  0.224  0.525
Se  0.434  0.056  0.687
Se  0.944  0.566  0.813
Se  0.566  0.944  0.313
Se  0.056  0.434  0.187
Se  0.902  0.404  0.712
Se  0.596  0.098  0.788
Se  0.098  0.596  0.288
Se  0.404  0.902  0.212
Se  0.067  0.578  0.587
Se  0.422  0.933  0.913
Se  0.933  0.422  0.413
Se  0.578  0.067  0.087

2.
The following is a GGA-PBE calculation of a relaxed Na3TiSe3 crystal, from Alexandria.

For the total DFT energy (no corrections), the calculation gives -30.0 eV/f.u. For the raw formation energy, the calculation gives -1.11 eV per atom.

Unit cell a=7.561 b=8.257 c=11.913 alpha=99.99 beta=90.00 gamma=90.00
Fractional coordinates of all 28 atoms:
Na  0.845  0.898  0.878
Na  0.655  0.898  0.378
Na  0.243  0.711  0.716
Na  0.740  0.595  0.582
Na  0.257  0.711  0.216
Na  0.760  0.595  0.082
Na  0.240  0.405  0.918
Na  0.743  0.289  0.784
Na  0.260  0.405  0.418
Na  0.757  0.289  0.284
Na  0.345  0.102  0.622
Na  0.155  0.102  0.122
Ti  0.426  0.833  0.959
Ti  0.074  0.833  0.459
Ti  0.926  0.167  0.541
Ti  0.574  0.167  0.041
Se  0.922  0.928  0.643
Se  0.578  0.928  0.143
Se  0.123  0.752  0.990
Se  0.377  0.752  0.490
Se  0.583  0.616  0.838
Se  0.917  0.616  0.338
Se  0.083  0.384  0.662
Se  0.417  0.384  0.162
Se  0.623  0.248  0.510
Se  0.877  0.248  0.010
Se  0.422  0.072  0.857
Se  0.078  0.072  0.357